10
Lattice="3.357 0.000 0.000 0.000 3.357 0.000 0.000 0.000 12.253" Properties=species:S:1:pos:R:3 comment="LiNi2Rh2 (GGA-PBE, relaxed)" formation_energy_ev_per_atom=0.26 m_tot_mub_per_cell=1.91 space_group="I4/mmm, No. 139" polymorph_energy_mev_per_atom=196.0 dos_at_fermi_per_ev_cell=10.0 pbc="T T T"
Li 0.000 0.000 0.000
Li 1.679 1.679 6.126
Ni 0.000 1.679 3.063
Ni 0.000 1.679 9.190
Ni 1.679 0.000 3.063
Ni 1.679 0.000 9.190
Rh 0.000 0.000 4.898
Rh 0.000 0.000 7.354
Rh 1.679 1.679 1.228
Rh 1.679 1.679 11.025